(1)
! GGA-PBE ScAl2Ag, relaxed; values from VASP
! space-group type: Fm-3m
! energy relative to the elements: -0.202 eV per atom
&SYSTEM
  ibrav = 0, nat = 4, ntyp = 3
/
ATOMIC_SPECIES
Sc 44.96 Sc.upf
Al 26.98 Al.upf
Ag 107.87 Ag.upf
CELL_PARAMETERS angstrom
3.899 -2.494 0.565
0.767 -2.250 4.011
-0.210 -4.656 0.138
ATOMIC_POSITIONS angstrom
Sc 0.000 0.000 0.000
Al 1.114 -2.350 1.179
Al 3.342 -7.050 3.536
Ag 2.228 -4.700 2.358

---

(2)
! GGA-PBE Er3CdOs, relaxed; values from VASP
! space-group type: Cmmm
! energy relative to the elements: -0.146 eV per atom
&SYSTEM
  ibrav = 0, nat = 10, ntyp = 3
/
ATOMIC_SPECIES
Er 167.26 Er.upf
Cd 112.41 Cd.upf
Os 190.23 Os.upf
CELL_PARAMETERS angstrom
-2.537 1.194 -2.563
2.341 -6.643 -5.414
-4.975 -7.189 1.575
ATOMIC_POSITIONS angstrom
Er -5.423 -7.359 -2.923
Er -5.476 -3.889 -1.253
Er -1.094 -3.562 -5.439
Er -1.204 -0.056 -0.879
Er -2.489 -7.141 -5.725
Er -2.184 -5.199 -2.306
Cd -3.008 -9.543 -3.514
Cd -2.958 -2.030 -2.877
Os -0.524 -5.949 -4.300
Os -4.183 -6.222 -0.805

---

(3)
! GGA-PBE U3MnTl3S8, relaxed; values from VASP
! space-group type: R-3m
! raw total energy: -6.5214 eV/atom
&SYSTEM
  ibrav = 0, nat = 15, ntyp = 4
/
ATOMIC_SPECIES
U 238.03 U.upf
Mn 54.94 Mn.upf
Tl 204.38 Tl.upf
S 32.06 S.upf
CELL_PARAMETERS angstrom
7.849 0.000 0.000
-3.924 6.795 -0.030
0.000 -4.496 7.662
ATOMIC_POSITIONS angstrom
U 3.924 -2.248 3.831
U 1.962 1.150 3.816
U -1.962 1.150 3.816
Mn 0.000 -2.248 3.831
Tl 0.000 0.000 0.000
Tl -1.962 3.398 -0.015
Tl 1.962 3.398 -0.015
S 0.000 2.275 2.286
S 3.924 0.024 5.347
S 3.924 2.336 2.369
S 0.000 -0.037 5.263
S 5.939 -1.153 2.384
S -2.015 3.452 5.249
S 1.909 -1.153 2.384
S 2.015 3.452 5.249

---

(4)
! GGA-PBE PuAlZn11, relaxed; values from VASP
! space-group type: C2/m
! energy relative to the elements: -0.111 eV per atom
&SYSTEM
  ibrav = 0, nat = 13, ntyp = 3
/
ATOMIC_SPECIES
Pu 244.00 Pu.upf
Al 26.98 Al.upf
Zn 65.41 Zn.upf
CELL_PARAMETERS angstrom
4.884 0.032 2.035
2.424 6.292 1.010
0.022 0.016 6.827
ATOMIC_POSITIONS angstrom
Pu 0.000 0.000 0.000
Al 3.654 3.162 1.522
Zn 1.899 1.366 2.278
Zn 5.432 4.975 7.594
Zn 4.354 4.959 3.301
Zn 2.976 1.382 6.571
Zn 3.304 4.094 5.780
Zn 4.026 2.246 4.092
Zn 0.878 2.230 4.769
Zn 6.452 4.111 5.103
Zn 1.212 3.146 0.505
Zn 2.453 0.024 4.431
Zn 0.011 0.008 3.414

---

So what do the calculations give for ρ? Going down the list: 4.79; 9.51; 6.68; 7.87 g/cm³.